A plane-wave DFT calculation with GGA-PBE was carried out for BeCuIrBr2 after structural relaxation.

Summary:
Formation energy (no corrections): 875 meV/atom

a = 4.681 Å, b = 4.352 Å, c = 4.681 Å
α = 90.00°, β = 90.00°, γ = 90.00°
Atoms (fractional coordinates):
Be: 0.000 0.000 0.000
Cu: 0.500 0.500 0.500
Br: 0.000 0.000 0.500
Br: 0.500 0.000 0.000
Ir: 0.000 0.500 0.000

---

A plane-wave DFT calculation with GGA-PBE was carried out for SrTcMo after structural relaxation.

Summary:
Relative energy among the computed polymorphs: 30 kJ/mol of formula units
Energy of formation from the pure elements: 10.51 kcal/mol of atoms

a = 4.288 Å, b = 4.288 Å, c = 10.488 Å
α = 90.00°, β = 90.00°, γ = 120.00°
Atoms (fractional coordinates):
Sr: 0.000 0.000 0.670
Sr: 0.667 0.333 0.034
Mo: 0.333 0.667 0.237
Mo: 0.000 0.000 0.301
Tc: 0.667 0.333 0.426
Tc: 0.333 0.667 0.469

---

A plane-wave DFT calculation with GGA-PBE was carried out for InSe2 after structural relaxation.

Summary:
Formation energy (no corrections): -212 meV/atom

a = 6.763 Å, b = 6.763 Å, c = 6.763 Å
α = 90.00°, β = 90.00°, γ = 90.00°
Site moments in Bohr magnetons follow the coordinates.
Atoms (fractional coordinates):
Se: 0.620 0.620 0.380  0.20
Se: 0.380 0.120 0.120  0.20
In: 0.000 0.500 0.500  0.01
Se: 0.380 0.380 0.620  0.20
In: 0.500 0.000 0.500  0.01
Se: 0.620 0.880 0.880  0.20
In: 0.500 0.500 0.000  0.01
In: 0.000 0.000 0.000  0.01
Se: 0.880 0.380 0.880  0.20
Se: 0.880 0.120 0.380  0.20
Se: 0.120 0.880 0.620  0.20
Se: 0.120 0.620 0.120  0.20

---

A plane-wave DFT calculation with GGA-PBE was carried out for ScCd2Si after structural relaxation.

Summary:
Formation energy (no corrections): -82 meV/atom

a = 3.199 Å, b = 3.199 Å, c = 8.041 Å
α = 90.00°, β = 90.00°, γ = 96.25°
Atoms (fractional coordinates):
Si: 0.500 0.500 0.738
Cd: 0.000 0.000 0.978
Sc: 0.000 0.000 0.533
Cd: 0.500 0.500 0.251

---

Number 1: E_tot -3.131 eV per atom. Number 2: E_tot -7.170 eV per atom. Number 3: E_tot -3.447 eV per atom. Number 4: E_tot -3.478 eV per atom.